Below is crystalline BaSc at its relaxed geometry, with properties calculated at the GGA-PBE level. Values from VASP.

```
&SYSTEM
  ibrav = 0, nat = 2, ntyp = 2
/
ATOMIC_SPECIES
Ba 137.33 Ba.upf
Sc 44.96 Sc.upf
CELL_PARAMETERS angstrom
-1.878 -2.364 -3.937
2.590 -3.623 -2.186
-1.492 -4.714 0.416
ATOMIC_POSITIONS angstrom
Ba 0.000 0.000 0.000
Sc -0.390 -5.351 -2.854
```

## Properties
- energy of formation (eV/atom) = 0.930
- energy above the lowest structure with this stoichiometry (eV per atom) = 0.694
- SG = No. 225

=====

Below is crystalline Al3Fe at its relaxed geometry, with properties calculated at the GGA-PBE level. Values from VASP.

```
&SYSTEM
  ibrav = 0, nat = 4, ntyp = 2
/
ATOMIC_SPECIES
Fe 55.84 Fe.upf
Al 26.98 Al.upf
CELL_PARAMETERS angstrom
4.692 0.011 -0.012
3.884 2.634 -0.012
0.693 0.214 4.559
ATOMIC_POSITIONS angstrom
Fe 0.000 0.000 0.000
Al 4.635 1.429 2.268
Al 6.858 2.114 3.465
Al 2.412 0.744 1.070
```

## Properties
- energy of formation (eV/atom) = -0.118
- SG = No. 12

=====

Below is crystalline BaSi3Br at its relaxed geometry, with properties calculated at the GGA-PBE level. Values from VASP.

```
&SYSTEM
  ibrav = 0, nat = 5, ntyp = 3
/
ATOMIC_SPECIES
Si 28.09 Si.upf
Ba 137.33 Ba.upf
Br 79.90 Br.upf
CELL_PARAMETERS angstrom
-0.435 -5.024 1.250
1.933 -1.321 -4.638
4.803 0.077 1.980
ATOMIC_POSITIONS angstrom
Si 0.966 -0.660 -2.319
Si 2.402 0.038 0.990
Si -0.217 -2.512 0.625
Ba 3.151 -3.134 -0.705
Br 0.000 0.000 0.000
```

## Properties
- formation energy from raw total energies (kJ/mol of formula units) = 344
- energy above the lowest structure with this stoichiometry (eV per atom) = 0.000
- SG = No. 221

=====

Table of volume (Å³ per atom), in record order: 43.18 14.04 28.05
Table of total magnetic moment (μB/cell), in record order: 0.572 1.212 0.000